[1]
DFT (PBE-GGA) results for a relaxed structure of CuPIrAu2.

Cell lengths 5.1983, 4.2851, 5.1983 Å; angles 90.00, 90.00, 90.00 degrees
Fractional positions:
1 Cu 0.5000 0.5000 0.5000
2 P 0.0000 0.5000 0.0000
3 Ir 0.0000 0.0000 0.0000
4 Au 0.5000 0.0000 0.0000
5 Au 0.0000 0.0000 0.5000

Values from the calculation:
The formation energy is 3.60 eV/f.u. As for the mass density: 9.8 g cm⁻³.

---

[2]
DFT (PBE-GGA) results for a relaxed structure of LaHf3Cl.

Cell lengths 5.3269, 5.3269, 5.3269 Å; angles 90.00, 90.00, 90.00 degrees
Fractional positions:
1 Cl 0.5000 0.5000 0.5000
2 Hf 0.0000 0.5000 0.0000
3 Hf 0.0000 0.0000 0.5000
4 Hf 0.5000 0.0000 0.0000
5 La 0.0000 0.0000 0.0000

Values from the calculation:
As for the formation energy without anion corrections: 1620 meV per atom. The calculation puts the relative energy among the computed polymorphs at 1528.6 meV/atom. As for the mass density: 7.8 g cm⁻³.

---

What did the first record say?
DFT (PBE-GGA) results for a relaxed structure of CuPIrAu2.

Cell lengths 5.1983, 4.2851, 5.1983 Å; angles 90.00, 90.00, 90.00 degrees
Fractional positions:
1 Cu 0.5000 0.5000 0.5000
2 P 0.0000 0.5000 0.0000
3 Ir 0.0000 0.0000 0.0000
4 Au 0.5000 0.0000 0.0000
5 Au 0.0000 0.0000 0.5000

Values from the calculation:
The formation energy is 3.60 eV/f.u. As for the mass density: 9.8 g cm⁻³.

---

Repeat the first record exactly.
DFT (PBE-GGA) results for a relaxed structure of CuPIrAu2.

Cell lengths 5.1983, 4.2851, 5.1983 Å; angles 90.00, 90.00, 90.00 degrees
Fractional positions:
1 Cu 0.5000 0.5000 0.5000
2 P 0.0000 0.5000 0.0000
3 Ir 0.0000 0.0000 0.0000
4 Au 0.5000 0.0000 0.0000
5 Au 0.0000 0.0000 0.5000

Values from the calculation:
The formation energy is 3.60 eV/f.u. As for the mass density: 9.8 g cm⁻³.